{"formula": "GdCuHgRh", "functional": "PBE", "state": "relaxed", "magmom_total_mub_per_cell": 7.052, "dos_ef_per_ev_atom": 0.619, "final_energy_ev_per_atom": -6.75, "e_form_mev_per_atom": -288, "cell": [[4.7567, 0.0000, 0.0000], [2.3784, 4.1195, 0.0000], [2.3784, 1.3732, 3.8839]], "species": ["Gd", "Rh", "Hg", "Cu"], "fractional_positions": [[0.7500, 0.7500, 0.7500], [0.5000, 0.5000, 0.5000], [0.2500, 0.2500, 0.2500], [0.0000, 0.0000, 0.0000]]}

---

{"formula": "SmGdCuHg", "functional": "PBE", "state": "relaxed", "magmom_total_mub_per_cell": 7.284, "dos_ef_per_ev_atom": 0.887, "final_energy_ev_per_atom": -6.11, "e_form_mev_per_atom": -311, "cell": [[-5.0552, -0.1782, 1.1438], [-3.4485, -1.2230, -3.6752], [-2.4612, -4.5617, 0.1685]], "species": ["Gd", "Hg", "Sm", "Cu"], "fractional_positions": [[0.5000, 0.5000, 0.5000], [0.7500, 0.7500, 0.7500], [0.0000, 0.0000, 0.0000], [0.2500, 0.2500, 0.2500]]}

---

{"formula": "GdCuSnHg", "functional": "PBE", "state": "relaxed", "magmom_total_mub_per_cell": 6.957, "dos_ef_per_ev_atom": 0.523, "final_energy_ev_per_atom": -5.89, "e_form_mev_per_atom": -269, "cell": [[5.0171, 0.0000, 0.0000], [2.5086, 4.3450, 0.0000], [2.5086, 1.4483, 4.0965]], "species": ["Gd", "Hg", "Cu", "Sn"], "fractional_positions": [[0.7500, 0.7500, 0.7500], [0.0000, 0.0000, 0.0000], [0.5000, 0.5000, 0.5000], [0.2500, 0.2500, 0.2500]]}

---

{"formula": "GdTlCuHg", "functional": "PBE", "state": "relaxed", "magmom_total_mub_per_cell": 6.982, "dos_ef_per_ev_atom": 0.642, "final_energy_ev_per_atom": -5.38, "e_form_mev_per_atom": -169, "cell": [[-2.5127, 3.4664, -2.6647], [-4.9799, 0.5197, 0.6003], [-1.8496, 4.0916, 2.2951]], "species": ["Tl", "Gd", "Hg", "Cu"], "fractional_positions": [[0.5000, 0.5000, 0.5000], [0.0000, 0.0000, 0.0000], [0.7500, 0.7500, 0.7500], [0.2500, 0.2500, 0.2500]]}

---

{"formula": "GdZnCuHg", "functional": "PBE", "state": "relaxed", "magmom_total_mub_per_cell": 7.141, "dos_ef_per_ev_atom": 0.490, "final_energy_ev_per_atom": -5.18, "e_form_mev_per_atom": -243, "cell": [[-3.5514, 0.2134, -3.1924], [-4.5125, -0.7417, 1.3917], [-3.0964, 3.6400, 0.1092]], "species": ["Zn", "Gd", "Hg", "Cu"], "fractional_positions": [[0.7500, 0.7500, 0.7500], [0.0000, 0.0000, 0.0000], [0.5000, 0.5000, 0.5000], [0.2500, 0.2500, 0.2500]]}

---

{"formula": "GdZrCuHg", "functional": "PBE", "state": "relaxed", "magmom_total_mub_per_cell": 8.222, "dos_ef_per_ev_atom": 0.995, "final_energy_ev_per_atom": -6.88, "e_form_mev_per_atom": -127, "cell": [[-3.7563, -3.1201, -1.0785], [-0.7084, -1.5270, -4.7090], [0.9713, -4.7398, -1.2645]], "species": ["Gd", "Hg", "Zr", "Cu"], "fractional_positions": [[0.0000, 0.0000, 0.0000], [0.7500, 0.7500, 0.7500], [0.5000, 0.5000, 0.5000], [0.2500, 0.2500, 0.2500]]}

---

{"formula": "GdHo2Cu", "functional": "PBE", "state": "relaxed", "e_above_lowest_polymorph_mev_per_atom": 0, "magmom_total_mub_per_cell": 7.614, "dos_ef_per_ev_atom": 1.194, "final_energy_ev_per_atom": -6.93, "e_form_mev_per_atom": -99, "cell": [[-0.3123, -0.6043, -3.4151], [0.6454, -3.3792, 0.5389], [-8.5048, -1.4592, 1.0360]], "species": ["Gd", "Ho", "Ho", "Cu"], "fractional_positions": [[0.5000, 0.5000, 0.5000], [0.0000, 0.0000, 0.8053], [0.0000, 0.0000, 0.1947], [0.5000, 0.5000, 0.0000]]}

---

{"formula": "GdHo2Cu", "functional": "PBE", "state": "relaxed", "e_above_lowest_polymorph_mev_per_atom": 134, "magmom_total_mub_per_cell": 7.373, "dos_ef_per_ev_atom": 1.398, "final_energy_ev_per_atom": -6.80, "e_form_mev_per_atom": 35, "cell": [[3.5747, 0.0000, 0.0000], [1.7874, 3.0958, 0.0000], [1.7874, 1.0319, 9.9117]], "species": ["Gd", "Ho", "Ho", "Cu"], "fractional_positions": [[0.5000, 0.5000, 0.5000], [0.2659, 0.2659, 0.2024], [0.7341, 0.7341, 0.7976], [0.0000, 0.0000, 0.0000]]}

---

{"formula": "GdHoInCu", "functional": "PBE", "state": "relaxed", "magmom_total_mub_per_cell": 7.589, "dos_ef_per_ev_atom": 0.833, "final_energy_ev_per_atom": -6.69, "e_form_mev_per_atom": -313, "cell": [[5.1691, 0.0000, 0.0000], [2.5846, 4.4766, 0.0000], [2.5846, 1.4922, 4.2206]], "species": ["Gd", "Ho", "Cu", "In"], "fractional_positions": [[0.5000, 0.5000, 0.5000], [0.0000, 0.0000, 0.0000], [0.2500, 0.2500, 0.2500], [0.7500, 0.7500, 0.7500]]}

---

{"formula": "GdHoMgCu", "functional": "PBE", "state": "relaxed", "magmom_total_mub_per_cell": 7.452, "dos_ef_per_ev_atom": 1.041, "final_energy_ev_per_atom": -6.15, "e_form_mev_per_atom": -65, "cell": [[-0.6845, -2.3847, -4.5021], [4.0477, -1.8623, -2.5636], [0.7045, -5.0798, -0.3511]], "species": ["Mg", "Gd", "Ho", "Cu"], "fractional_positions": [[0.7500, 0.7500, 0.7500], [0.5000, 0.5000, 0.5000], [0.0000, 0.0000, 0.0000], [0.2500, 0.2500, 0.2500]]}

---

{"formula": "GdHoMnCu", "functional": "PBE", "state": "relaxed", "magmom_total_mub_per_cell": 4.095, "dos_ef_per_ev_atom": 1.311, "final_energy_ev_per_atom": -7.95, "e_form_mev_per_atom": 28, "cell": [[4.9564, 0.0000, 0.0000], [2.4782, 4.2924, 0.0000], [2.4782, 1.4308, 4.0469]], "species": ["Mn", "Gd", "Ho", "Cu"], "fractional_positions": [[0.7500, 0.7500, 0.7500], [0.5000, 0.5000, 0.5000], [0.0000, 0.0000, 0.0000], [0.2500, 0.2500, 0.2500]]}

---

{"formula": "GdHoCuNi", "functional": "PBE", "state": "relaxed", "magmom_total_mub_per_cell": 7.115, "dos_ef_per_ev_atom": 0.660, "final_energy_ev_per_atom": -7.44, "e_form_mev_per_atom": -304, "cell": [[-3.1329, 2.5151, -2.7211], [-3.2272, -2.3361, -2.7701], [-4.7088, 0.0796, 1.1687]], "species": ["Ni", "Gd", "Ho", "Cu"], "fractional_positions": [[0.7500, 0.7500, 0.7500], [0.5000, 0.5000, 0.5000], [0.0000, 0.0000, 0.0000], [0.2500, 0.2500, 0.2500]]}

---

{"formula": "GdHoCuPb", "functional": "PBE", "state": "relaxed", "magmom_total_mub_per_cell": 7.885, "dos_ef_per_ev_atom": 0.946, "final_energy_ev_per_atom": -6.93, "e_form_mev_per_atom": -312, "cell": [[5.2117, 0.0000, 0.0000], [2.6059, 4.5135, 0.0000], [2.6059, 1.5045, 4.2553]], "species": ["Pb", "Gd", "Ho", "Cu"], "fractional_positions": [[0.7500, 0.7500, 0.7500], [0.5000, 0.5000, 0.5000], [0.0000, 0.0000, 0.0000], [0.2500, 0.2500, 0.2500]]}

---

{"formula": "GdHoCuPt", "functional": "PBE", "state": "relaxed", "magmom_total_mub_per_cell": 7.088, "dos_ef_per_ev_atom": 0.586, "final_energy_ev_per_atom": -7.95, "e_form_mev_per_atom": -750, "cell": [[4.9391, 0.0000, 0.0000], [2.4695, 4.2774, 0.0000], [2.4695, 1.4258, 4.0327]], "species": ["Gd", "Ho", "Pt", "Cu"], "fractional_positions": [[0.5000, 0.5000, 0.5000], [0.0000, 0.0000, 0.0000], [0.2500, 0.2500, 0.2500], [0.7500, 0.7500, 0.7500]]}

---

{"formula": "GdHoCuRh", "functional": "PBE", "state": "relaxed", "magmom_total_mub_per_cell": 7.198, "dos_ef_per_ev_atom": 0.900, "final_energy_ev_per_atom": -8.07, "e_form_mev_per_atom": -543, "cell": [[-2.0869, -1.6329, -4.1188], [-4.1040, -2.6634, 0.2235], [-4.2457, 1.9117, -1.5185]], "species": ["Gd", "Rh", "Ho", "Cu"], "fractional_positions": [[0.0000, 0.0000, 0.0000], [0.7500, 0.7500, 0.7500], [0.5000, 0.5000, 0.5000], [0.2500, 0.2500, 0.2500]]}

---

{"formula": "GdHoCuSn", "functional": "PBE", "state": "relaxed", "magmom_total_mub_per_cell": 7.763, "dos_ef_per_ev_atom": 0.877, "final_energy_ev_per_atom": -7.13, "e_form_mev_per_atom": -441, "cell": [[5.1528, 0.0000, 0.0000], [2.5764, 4.4625, 0.0000], [2.5764, 1.4875, 4.2073]], "species": ["Gd", "Ho", "Cu", "Sn"], "fractional_positions": [[0.0000, 0.0000, 0.0000], [0.5000, 0.5000, 0.5000], [0.7500, 0.7500, 0.7500], [0.2500, 0.2500, 0.2500]]}

---

{"formula": "GdHoCuTc", "functional": "PBE", "state": "relaxed", "magmom_total_mub_per_cell": 7.037, "dos_ef_per_ev_atom": 0.829, "final_energy_ev_per_atom": -8.36, "e_form_mev_per_atom": -84, "cell": [[4.8778, 0.0000, 0.0000], [2.4389, 4.2243, 0.0000], [2.4389, 1.4081, 3.9827]], "species": ["Gd", "Ho", "Cu", "Tc"], "fractional_positions": [[0.0000, 0.0000, 0.0000], [0.5000, 0.5000, 0.5000], [0.2500, 0.2500, 0.2500], [0.7500, 0.7500, 0.7500]]}

---

{"formula": "GdHoZnCu", "functional": "PBE", "state": "relaxed", "magmom_total_mub_per_cell": 7.140, "dos_ef_per_ev_atom": 0.707, "final_energy_ev_per_atom": -6.29, "e_form_mev_per_atom": -279, "cell": [[4.9933, 0.0000, 0.0000], [2.4966, 4.3243, 0.0000], [2.4966, 1.4414, 4.0770]], "species": ["Zn", "Gd", "Ho", "Cu"], "fractional_positions": [[0.7500, 0.7500, 0.7500], [0.5000, 0.5000, 0.5000], [0.0000, 0.0000, 0.0000], [0.2500, 0.2500, 0.2500]]}

---

{"formula": "GdCuI2", "functional": "PBE", "state": "relaxed", "magmom_total_mub_per_cell": 7.130, "dos_ef_per_ev_atom": 1.224, "final_energy_ev_per_atom": -5.52, "raw_formation_energy_ev_per_atom": -0.196, "cell": [[4.0663, 0.0000, 0.0000], [2.0332, 3.5215, 0.0000], [2.0332, 1.1738, 9.2611]], "species": ["I", "I", "Gd", "Cu"], "fractional_positions": [[0.1097, 0.1097, 0.6710], [0.8903, 0.8903, 0.3290], [0.0000, 0.0000, 0.0000], [0.5000, 0.5000, 0.5000]]}

---

{"formula": "Gd2CuI", "functional": "PBE", "state": "relaxed", "magmom_total_mub_per_cell": 14.905, "dos_ef_per_ev_atom": 1.582, "final_energy_ev_per_atom": -8.96, "raw_formation_energy_ev_per_atom": -0.509, "cell": [[4.1240, 0.0000, 0.0000], [2.0620, 3.5715, 0.0000], [2.0620, 1.1905, 7.8344]], "species": ["I", "Gd", "Gd", "Cu"], "fractional_positions": [[0.5000, 0.5000, 0.5000], [0.2684, 0.2684, 0.1949], [0.7316, 0.7316, 0.8051], [0.0000, 0.0000, 0.0000]]}